The following is a PBE calculation of a relaxed structure of Na3NpCo2S6, from Alexandria.

The value obtained for the density of states at the Fermi level is 7.11 states/eV/cell. The calculation puts the uncorrected formation energy at -0.868 eV per atom. The crystal system is monoclinic.

The structure in POSCAR format:
```
Na3NpCo2S6
1.0
-1.566 4.616 -3.723
-3.887 -1.878 4.357
4.557 3.474 4.101
Na Np Co S
3 1 2 6
direct
0.159 0.841 0.500 Na
0.841 0.159 0.500 Na
0.500 0.500 0.500 Na
0.000 0.000 0.000 Np
0.333 0.667 0.000 Co
0.667 0.333 0.000 Co
0.933 0.563 0.799 S
0.698 0.698 0.200 S
0.067 0.437 0.201 S
0.563 0.933 0.799 S
0.302 0.302 0.800 S
0.437 0.067 0.201 S
```

***

The following is a PBE calculation of a relaxed structure of Na3Np2CoS6, from Alexandria.

The value obtained for the density of states at the Fermi level is 19.69 states/eV/cell. The calculation puts the uncorrected formation energy at -1.092 eV per atom. The crystal system is monoclinic.

The structure in POSCAR format:
```
Na3Np2CoS6
1.0
-1.713 -4.279 -4.717
5.945 2.852 -0.126
1.081 -4.560 5.279
Na Np Co S
3 2 1 6
direct
0.167 0.833 0.500 Na
0.833 0.167 0.500 Na
0.500 0.500 0.500 Na
0.333 0.667 0.000 Np
0.667 0.333 0.000 Np
0.000 0.000 0.000 Co
0.927 0.609 0.781 S
0.756 0.756 0.218 S
0.073 0.391 0.219 S
0.609 0.927 0.781 S
0.244 0.244 0.782 S
0.391 0.073 0.219 S
```

***

The following is a PBE calculation of a relaxed structure of Na2Np2CoS6, from Alexandria.

The value obtained for the density of states at the Fermi level is 14.91 states/eV/cell. The calculation puts the uncorrected formation energy at -1.037 eV per atom. The crystal system is monoclinic.

The structure in POSCAR format:
```
Na2Np2CoS6
1.0
-2.647 4.543 3.744
-3.161 -5.536 -1.013
4.960 -2.412 4.574
Na Np Co S
2 2 1 6
direct
0.831 0.169 0.000 Na
0.169 0.831 0.000 Na
0.334 0.666 0.500 Np
0.666 0.334 0.500 Np
0.000 0.000 0.500 Co
0.770 0.770 0.708 S
0.071 0.385 0.713 S
0.230 0.230 0.292 S
0.385 0.071 0.713 S
0.929 0.615 0.287 S
0.615 0.929 0.287 S
```

***

The following is a PBE calculation of a relaxed structure of NaNpCoS3, from Alexandria.

The value obtained for the density of states at the Fermi level is 20.12 states/eV/cell. The calculation puts the uncorrected formation energy at -1.024 eV per atom. The crystal system is monoclinic.

The structure in POSCAR format:
```
NaNpCoS3
1.0
3.825 0.000 0.000
0.000 8.088 0.064
0.000 -2.071 8.432
Na Np Co S
2 2 2 6
direct
0.250 0.182 0.218 Na
0.750 0.818 0.782 Na
0.250 0.675 0.166 Np
0.750 0.325 0.834 Np
0.250 0.083 0.586 Co
0.750 0.917 0.414 Co
0.750 0.897 0.148 S
0.250 0.103 0.852 S
0.250 0.808 0.480 S
0.750 0.192 0.520 S
0.750 0.432 0.158 S
0.250 0.568 0.842 S
```